The following is a DFT calculation (PBE) of a relaxed structure of HfAuBr6.

Results
Uncorrected formation energy = -6.87 eV/f.u.
Relative energy among the computed polymorphs = 0.00 kcal/mol of atoms
Density of states at the Fermi level = 2.82 states/eV/cell

Unit cell a=7.3415 b=7.7556 c=7.0917 alpha=107.12 beta=104.53 gamma=119.19
Last column: nearest neighbours and their distance in Å.
Element x y z (fractional)
Br1 0.4007 0.1537 0.3188  1 Au 2.62, 1 Hf 2.67
Br2 0.3137 0.6249 0.0000  1 Hf 2.54
Br3 0.9181 0.1652 0.3188  1 Au 2.62, 1 Hf 2.67
Hf1 0.5000 0.0000 0.0000  6 Br 2.54-2.67
Br4 0.6863 0.3751 0.0000  1 Hf 2.54
Au1 0.0000 0.0000 0.0000  4 Br 2.62
Br5 0.0819 0.8348 0.6812  1 Au 2.62, 1 Hf 2.67
Br6 0.5993 0.8463 0.6812  1 Au 2.62, 1 Hf 2.67